Record 1
! LiGeB PBE-GGA optimized geometry; values from VASP
! E = -24.2 eV/cell
! Magnetization = 0.0 μB/f.u.
&SYSTEM
  ibrav = 0, nat = 6, ntyp = 3
/
ATOMIC_SPECIES
Li 6.94 Li.upf
Ge 72.64 Ge.upf
B 10.81 B.upf
ATOMIC_POSITIONS crystal
Li 0.088 0.912 0.750
Li 0.912 0.088 0.250
Ge 0.349 0.651 0.750
Ge 0.651 0.349 0.250
B 0.268 0.732 0.250
B 0.732 0.268 0.750
CELL_PARAMETERS angstrom
1.683 -5.749 0.000
1.683 5.749 0.000
0.000 0.000 4.255

---

Record 2
! MnOsPt PBE-GGA optimized geometry; values from VASP
! Energy above the most stable polymorph in this dataset = 181 meV/atom
! Magnetization = 2.1 μB/f.u.
&SYSTEM
  ibrav = 0, nat = 3, ntyp = 3
/
ATOMIC_SPECIES
Mn 54.94 Mn.upf
Os 190.23 Os.upf
Pt 195.08 Pt.upf
ATOMIC_POSITIONS crystal
Mn 0.000 0.000 0.000
Os 0.645 0.645 0.000
Pt 0.335 0.335 0.000
CELL_PARAMETERS angstrom
-1.587 1.587 4.268
1.587 -1.587 4.268
1.587 1.587 -4.268

---

Record 3
! Ac12La5Tb2 PBE-GGA optimized geometry; values from VASP
! Energy above the most stable polymorph in this dataset = 72 meV/atom
! Magnetization = 0.0 μB/f.u.
&SYSTEM
  ibrav = 0, nat = 19, ntyp = 3
/
ATOMIC_SPECIES
Ac 227.00 Ac.upf
La 138.91 La.upf
Tb 158.93 Tb.upf
ATOMIC_POSITIONS crystal
Ac 0.001 0.001 0.180
Ac 0.087 0.585 0.963
Ac 0.099 0.584 0.610
Ac 0.415 0.913 0.037
Ac 0.416 0.901 0.390
Ac 0.468 0.468 0.269
Ac 0.532 0.532 0.731
Ac 0.584 0.099 0.610
Ac 0.585 0.087 0.963
Ac 0.901 0.416 0.390
Ac 0.913 0.415 0.037
Ac 0.999 0.999 0.820
La 0.168 0.168 0.718
La 0.301 0.301 0.287
La 0.500 0.500 0.000
La 0.699 0.699 0.713
La 0.832 0.832 0.282
Tb 0.201 0.799 0.500
Tb 0.799 0.201 0.500
CELL_PARAMETERS angstrom
9.923 -3.869 0.000
9.923 3.869 0.000
-3.313 0.000 10.453

---

Record 4
! CeSc2Ir PBE-GGA optimized geometry; values from VASP
! Energy above the most stable polymorph in this dataset = 19 meV/atom
! Magnetization = 1.0 μB/f.u.
&SYSTEM
  ibrav = 0, nat = 8, ntyp = 3
/
ATOMIC_SPECIES
Ce 140.12 Ce.upf
Sc 44.96 Sc.upf
Ir 192.22 Ir.upf
ATOMIC_POSITIONS crystal
Ce 0.066 0.934 0.750
Ce 0.934 0.066 0.250
Sc 0.355 0.645 0.565
Sc 0.355 0.645 0.935
Sc 0.645 0.355 0.065
Sc 0.645 0.355 0.435
Ir 0.249 0.751 0.250
Ir 0.751 0.249 0.750
CELL_PARAMETERS angstrom
1.846 -5.781 0.000
1.846 5.781 0.000
0.000 0.000 8.783

---

Record 5
! Cs2KZnIn PBE-GGA optimized geometry; values from VASP
! Energy above the most stable polymorph in this dataset = 39 meV/atom
! Magnetization = 0.0 μB/f.u.
&SYSTEM
  ibrav = 0, nat = 5, ntyp = 4
/
ATOMIC_SPECIES
Cs 132.91 Cs.upf
K 39.10 K.upf
Zn 65.41 Zn.upf
In 114.82 In.upf
ATOMIC_POSITIONS crystal
Cs 0.000 0.500 0.000
Cs 0.500 0.000 0.000
K 0.000 0.000 0.500
Zn 0.500 0.500 0.500
In 0.500 0.500 0.000
CELL_PARAMETERS angstrom
7.859 0.000 0.000
0.000 7.859 0.000
0.000 0.000 5.118

---

Record 6
! BaNaAsCl6 PBE-GGA optimized geometry; values from VASP
! Formation energy from raw total energies = -1.509 eV per atom
! Magnetization = 0.0 μB/f.u.
&SYSTEM
  ibrav = 0, nat = 9, ntyp = 4
/
ATOMIC_SPECIES
Ba 137.33 Ba.upf
Na 22.99 Na.upf
As 74.92 As.upf
Cl 35.45 Cl.upf
ATOMIC_POSITIONS crystal
Ba 0.000 0.000 0.000
Na 0.333 0.667 0.500
As 0.667 0.333 0.500
Cl 0.378 0.030 0.722
Cl 0.378 0.348 0.278
Cl 0.652 0.030 0.278
Cl 0.652 0.622 0.722
Cl 0.970 0.348 0.722
Cl 0.970 0.622 0.278
CELL_PARAMETERS angstrom
6.965 0.000 0.000
-3.483 6.032 0.000
0.000 0.000 6.575

---

Record 7
! As4Os5 PBE-GGA optimized geometry; values from VASP
! Energy above the most stable polymorph in this dataset = 180 meV/atom
! Magnetization = 0.0 μB/f.u.
&SYSTEM
  ibrav = 0, nat = 18, ntyp = 2
/
ATOMIC_SPECIES
As 74.92 As.upf
Os 190.23 Os.upf
ATOMIC_POSITIONS crystal
As 0.000 0.000 0.000
As 0.000 0.000 0.500
As 0.000 0.349 0.250
As 0.000 0.651 0.750
As 0.349 0.000 0.250
As 0.349 0.349 0.750
As 0.651 0.000 0.750
As 0.651 0.651 0.250
Os 0.000 0.332 0.750
Os 0.000 0.668 0.250
Os 0.332 0.000 0.750
Os 0.332 0.332 0.250
Os 0.333 0.667 0.000
Os 0.333 0.667 0.500
Os 0.667 0.333 0.000
Os 0.667 0.333 0.500
Os 0.668 0.000 0.250
Os 0.668 0.668 0.750
CELL_PARAMETERS angstrom
7.534 0.000 0.000
-3.767 6.525 0.000
0.000 0.000 5.581

---

Record 8
! HgPdIO6 PBE-GGA optimized geometry; values from VASP
! Formation energy from raw total energies = -0.244 eV per atom
! Magnetization = 0.0 μB/f.u.
&SYSTEM
  ibrav = 0, nat = 18, ntyp = 4
/
ATOMIC_SPECIES
Hg 200.59 Hg.upf
Pd 106.42 Pd.upf
I 126.90 I.upf
O 16.00 O.upf
ATOMIC_POSITIONS crystal
Hg 0.000 0.000 0.000
Hg 0.000 0.000 0.500
Pd 0.333 0.667 0.250
Pd 0.667 0.333 0.750
I 0.333 0.667 0.750
I 0.667 0.333 0.250
O 0.015 0.375 0.642
O 0.015 0.639 0.858
O 0.361 0.375 0.858
O 0.361 0.985 0.642
O 0.375 0.015 0.142
O 0.375 0.361 0.358
O 0.625 0.639 0.642
O 0.625 0.985 0.858
O 0.639 0.015 0.358
O 0.639 0.625 0.142
O 0.985 0.361 0.142
O 0.985 0.625 0.358
CELL_PARAMETERS angstrom
5.335 0.000 0.000
-2.668 4.620 0.000
0.000 0.000 10.123

---

Record 9
! K2PaNi2Se4 PBE-GGA optimized geometry; values from VASP
! Formation energy from raw total energies = -1.013 eV per atom
! Magnetization = 0.0 μB/f.u.
&SYSTEM
  ibrav = 0, nat = 9, ntyp = 4
/
ATOMIC_SPECIES
K 39.10 K.upf
Pa 231.04 Pa.upf
Ni 58.69 Ni.upf
Se 78.96 Se.upf
ATOMIC_POSITIONS crystal
K 0.137 0.137 0.063
K 0.863 0.863 0.937
Pa 0.000 0.000 0.500
Ni 0.320 0.320 0.507
Ni 0.680 0.680 0.493
Se 0.202 0.202 0.672
Se 0.479 0.479 0.739
Se 0.521 0.521 0.261
Se 0.798 0.798 0.328
CELL_PARAMETERS angstrom
7.209 -1.996 0.000
7.209 1.996 0.000
-2.548 0.000 7.572

---

Record 10
! Ta2IrPb PBE-GGA optimized geometry; values from VASP
! E = -35.2 eV/cell
! Magnetization = 0.0 μB/f.u.
&SYSTEM
  ibrav = 0, nat = 4, ntyp = 3
/
ATOMIC_SPECIES
Ta 180.95 Ta.upf
Ir 192.22 Ir.upf
Pb 207.20 Pb.upf
ATOMIC_POSITIONS crystal
Ta 0.243 0.243 0.243
Ta 0.757 0.757 0.757
Ir 0.500 0.500 0.500
Pb 0.000 0.000 0.000
CELL_PARAMETERS angstrom
1.493 0.862 9.747
-1.493 0.862 9.747
0.000 -1.724 9.747

---

Record 11
! Y2Ge3Pt4Au PBE-GGA optimized geometry; values from VASP
! E = -62.3 eV/cell
! Magnetization = 0.0 μB/f.u.
&SYSTEM
  ibrav = 0, nat = 10, ntyp = 4
/
ATOMIC_SPECIES
Y 88.91 Y.upf
Ge 72.64 Ge.upf
Pt 195.08 Pt.upf
Au 196.97 Au.upf
ATOMIC_POSITIONS crystal
Y 0.000 0.500 0.249
Y 0.500 0.000 0.751
Ge 0.000 0.000 0.000
Ge 0.000 0.500 0.631
Ge 0.500 0.000 0.369
Pt 0.000 0.000 0.500
Pt 0.000 0.500 0.838
Pt 0.500 0.000 0.162
Pt 0.500 0.500 0.500
Au 0.500 0.500 0.000
CELL_PARAMETERS angstrom
4.059 0.000 0.000
0.000 4.059 0.000
0.000 0.000 11.577

---

Record 12
! Y2PW PBE-GGA optimized geometry; values from VASP
! E = -31.9 eV/cell
! Magnetization = 0.0 μB/f.u.
&SYSTEM
  ibrav = 0, nat = 4, ntyp = 3
/
ATOMIC_SPECIES
Y 88.91 Y.upf
P 30.97 P.upf
W 183.84 W.upf
ATOMIC_POSITIONS crystal
Y 0.000 0.000 0.236
Y 0.000 0.000 0.764
P 0.500 0.500 0.000
W 0.500 0.500 0.500
CELL_PARAMETERS angstrom
3.602 0.000 0.000
0.000 3.602 0.000
0.000 0.000 6.498

---

Record 13
! LaThCo4 PBE-GGA optimized geometry; values from VASP
! Energy above the most stable polymorph in this dataset = 0 meV/atom
! Magnetization = 1.8 μB/f.u.
&SYSTEM
  ibrav = 0, nat = 6, ntyp = 3
/
ATOMIC_SPECIES
La 138.91 La.upf
Th 232.04 Th.upf
Co 58.93 Co.upf
ATOMIC_POSITIONS crystal
La 0.000 0.000 0.000
Th 0.500 0.000 0.500
Co 0.000 0.500 0.336
Co 0.000 0.500 0.664
Co 0.500 0.500 0.172
Co 0.500 0.500 0.828
CELL_PARAMETERS angstrom
3.965 0.000 0.000
0.000 4.118 0.000
0.000 0.000 6.838